First-principles (GGA-PBE) data for SrCa2 after structural relaxation, as listed in Alexandria via LeMat-Bulk. Values from VASP.

```
&SYSTEM
  ibrav = 0, nat = 3, ntyp = 2
/
ATOMIC_SPECIES
Sr 87.62 Sr.upf
Ca 40.08 Ca.upf
ATOMIC_POSITIONS angstrom
Sr -1.004 1.412 3.031
Ca 1.001 4.221 0.955
Ca 1.041 -1.384 5.082
CELL_PARAMETERS angstrom
4.050 0.012 -0.025
-0.022 5.619 -0.007
-1.986 -2.794 6.069
```

Values from the calculation:
V = 137.8 Å³ per cell
DFT total energy = -1.88 eV/atom
E_form = 0.015 eV/atom